The following is a PBE calculation of BSbRh6 after structural relaxation, from Alexandria via LeMat-Bulk.

```
BSbRh6
1.0
3.2383 -3.8375 0.0000
3.2383 3.8375 0.0000
-1.3604 0.0000 4.8097
B Sb Rh
1 1 6
direct
0.0000 0.0000 0.0000
0.5000 0.5000 0.5000
0.1006 0.7119 0.7113
0.2878 0.2878 0.9014
0.2881 0.8994 0.2887
0.7119 0.1006 0.7113
0.7122 0.7122 0.0986
0.8994 0.2881 0.2887
```

The following is a PBE calculation of BSbRh4 after structural relaxation, from Alexandria via LeMat-Bulk.

```
BSbRh4
1.0
4.2680 0.0000 0.0000
0.0000 3.7106 0.0000
-1.2108 0.0000 5.8759
B Sb Rh
1 1 4
direct
0.0000 0.0000 0.0000
0.4963 0.5000 0.5019
0.0617 0.5000 0.7918
0.4382 0.0000 0.2060
0.5581 0.0000 0.7989
0.9328 0.5000 0.2092
```

The following is a PBE calculation of Sc2BSbRh6 after structural relaxation, from Alexandria via LeMat-Bulk.

```
Sc2BSbRh6
1.0
4.9537 -2.8609 0.0000
4.9537 2.8609 0.0000
-3.2944 0.0000 6.4779
Sc B Sb Rh
2 1 1 6
direct
0.2239 0.2239 0.1721
0.7761 0.7761 0.8279
0.5000 0.5000 0.0000
0.0000 0.0000 0.5000
0.2113 0.7314 0.1749
0.2683 0.2683 0.8248
0.2686 0.7887 0.8251
0.7314 0.2113 0.1749
0.7317 0.7317 0.1752
0.7887 0.2686 0.8251
```

The following is a PBE calculation of Sm2BSbRh6 after structural relaxation, from Alexandria via LeMat-Bulk.

```
Sm2BSbRh6
1.0
4.6244 0.0000 0.0000
0.0000 4.6244 0.0000
0.0000 0.0000 8.8720
Sm B Sb Rh
2 1 1 6
direct
0.0000 0.0000 0.2326
0.0000 0.0000 0.7674
0.5000 0.5000 0.0000
0.5000 0.5000 0.5000
0.0000 0.5000 0.0000
0.0000 0.5000 0.5000
0.5000 0.0000 0.0000
0.5000 0.0000 0.5000
0.5000 0.5000 0.2191
0.5000 0.5000 0.7809
```

The following is a PBE calculation of Sm3B2SbRh9 after structural relaxation, from Alexandria via LeMat-Bulk.

```
Sm3B2SbRh9
1.0
6.1014 0.0000 0.0000
-3.0507 5.2840 0.0000
0.0000 0.0000 8.0622
Sm B Sb Rh
3 2 1 9
direct
0.0000 0.0000 0.0000
0.3333 0.6667 0.6684
0.6667 0.3333 0.3316
0.3333 0.6667 0.1372
0.6667 0.3333 0.8628
0.0000 0.0000 0.5000
0.0000 0.5000 0.0000
0.1771 0.3543 0.2931
0.1771 0.8229 0.2931
0.3543 0.1771 0.7069
0.5000 0.0000 0.0000
0.5000 0.5000 0.0000
0.6457 0.8229 0.2931
0.8229 0.1771 0.7069
0.8229 0.6457 0.7069
```

The following is a PBE calculation of Sn2BSbRh after structural relaxation, from Alexandria via LeMat-Bulk.

```
Sn2BSbRh
1.0
5.7005 0.0000 0.0000
0.0000 5.7005 0.0000
0.0000 0.0000 4.8759
Sn B Sb Rh
2 1 1 1
direct
0.0000 0.5000 0.0000
0.5000 0.0000 0.0000
0.0000 0.0000 0.5000
0.5000 0.5000 0.0000
0.5000 0.5000 0.5000
```

The following is a PBE calculation of SrBSbRh3 after structural relaxation, from Alexandria via LeMat-Bulk.

```
SrBSbRh3
1.0
2.9728 -6.3913 0.0000
2.9728 6.3913 0.0000
0.0000 0.0000 5.9760
Sr B Sb Rh
2 2 2 6
direct
0.2474 0.7526 0.7500
0.7526 0.2474 0.2500
0.4796 0.5204 0.2500
0.5204 0.4796 0.7500
0.1213 0.8787 0.2500
0.8787 0.1213 0.7500
0.2604 0.2604 0.0000
0.2604 0.2604 0.5000
0.3204 0.6796 0.2500
0.6796 0.3204 0.7500
0.7396 0.7396 0.0000
0.7396 0.7396 0.5000
```

The following is a PBE calculation of Tb2B2SbRh5 after structural relaxation, from Alexandria via LeMat-Bulk.

```
Tb2B2SbRh5
1.0
9.5646 0.0000 0.0000
0.0000 9.5646 0.0000
0.0000 0.0000 3.3218
Tb B Sb Rh
4 4 2 10
direct
0.1753 0.3247 0.0000
0.3247 0.8247 0.0000
0.6753 0.1753 0.0000
0.8247 0.6753 0.0000
0.1191 0.6191 0.0000
0.3809 0.1191 0.0000
0.6191 0.8809 0.0000
0.8809 0.3809 0.0000
0.0000 0.0000 0.0000
0.5000 0.5000 0.0000
0.0000 0.5000 0.5000
0.0709 0.7754 0.5000
0.2246 0.0709 0.5000
0.2754 0.5709 0.5000
0.4291 0.2754 0.5000
0.5000 0.0000 0.5000
0.5709 0.7246 0.5000
0.7246 0.4291 0.5000
0.7754 0.9291 0.5000
0.9291 0.2246 0.5000
```

The following is a PBE calculation of Tb2BSbRh6 after structural relaxation, from Alexandria via LeMat-Bulk.

```
Tb2BSbRh6
1.0
5.7134 0.0000 0.0000
2.7348 5.0190 0.0000
2.5362 1.4916 6.2229
Tb B Sb Rh
2 1 1 6
direct
0.2478 0.2463 0.2018
0.7522 0.7537 0.7982
0.5000 0.5000 0.5000
0.0000 0.0000 0.0000
0.1763 0.7014 0.3502
0.2799 0.2809 0.7259
0.2973 0.8259 0.6482
0.7027 0.1741 0.3518
0.7201 0.7191 0.2741
0.8237 0.2986 0.6498
```

The following is a PBE calculation of BSb2TeRh after structural relaxation, from Alexandria via LeMat-Bulk.

```
BSb2TeRh
1.0
5.0114 0.0000 0.0000
0.0000 5.0114 0.0000
0.0000 0.0000 5.6053
B Sb Te Rh
1 2 1 1
direct
0.0000 0.0000 0.0000
0.0000 0.5000 0.5000
0.5000 0.0000 0.5000
0.5000 0.5000 0.0000
0.5000 0.5000 0.5000
```

The following is a PBE calculation of BSb2TeRh after structural relaxation, from Alexandria via LeMat-Bulk.

```
BSb2TeRh
1.0
4.6709 0.0000 0.0000
0.0000 4.6709 0.0000
0.0000 0.0000 4.7514
B Sb Te Rh
1 2 1 1
direct
0.0000 0.0000 0.0000
0.0000 0.5000 0.0000
0.5000 0.0000 0.0000
0.0000 0.0000 0.5000
0.5000 0.5000 0.5000
```

The following is a PBE calculation of Th3B2SbRh9 after structural relaxation, from Alexandria via LeMat-Bulk.

```
Th3B2SbRh9
1.0
5.9028 0.0000 0.0000
-2.9514 5.1119 0.0000
0.0000 0.0000 8.8950
Th B Sb Rh
3 2 1 9
direct
0.0000 0.0000 0.0000
0.3333 0.6667 0.6899
0.6667 0.3333 0.3101
0.3333 0.6667 0.1442
0.6667 0.3333 0.8558
0.0000 0.0000 0.5000
0.0000 0.5000 0.0000
0.1649 0.3298 0.2736
0.1649 0.8351 0.2736
0.3298 0.1649 0.7264
0.5000 0.0000 0.0000
0.5000 0.5000 0.0000
0.6702 0.8351 0.2736
0.8351 0.1649 0.7264
0.8351 0.6702 0.7264
```

The following is a PBE calculation of Th3B2SbRh8 after structural relaxation, from Alexandria via LeMat-Bulk.

```
Th3B2SbRh8
1.0
5.5652 0.0000 0.0000
-2.7826 4.8196 0.0000
0.0000 0.0000 9.2003
Th B Sb Rh
3 2 1 8
direct
0.0000 0.0000 0.0000
0.3333 0.6667 0.5988
0.6667 0.3333 0.4012
0.3333 0.6667 0.1138
0.6667 0.3333 0.8862
0.0000 0.0000 0.5000
0.1695 0.3391 0.2619
0.1695 0.8305 0.2619
0.3333 0.6667 0.8954
0.3391 0.1695 0.7381
0.6609 0.8305 0.2619
0.6667 0.3333 0.1046
0.8305 0.1695 0.7381
0.8305 0.6609 0.7381
```

The following is a PBE calculation of Th2B3SbRh12 after structural relaxation, from Alexandria via LeMat-Bulk.

```
Th2B3SbRh12
1.0
3.7621 2.1721 5.8757
-3.7621 2.1721 5.8757
0.0000 -4.3441 5.8757
Th B Sb Rh
2 3 1 12
direct
0.0955 0.0955 0.0955
0.9045 0.9045 0.9045
0.0000 0.5000 0.5000
0.5000 0.0000 0.5000
0.5000 0.5000 0.0000
0.5000 0.5000 0.5000
0.0560 0.6512 0.6512
0.2279 0.2279 0.6283
0.2279 0.6283 0.2279
0.3488 0.3488 0.9440
0.3488 0.9440 0.3488
0.3717 0.7721 0.7721
0.6283 0.2279 0.2279
0.6512 0.0560 0.6512
0.6512 0.6512 0.0560
0.7721 0.3717 0.7721
0.7721 0.7721 0.3717
0.9440 0.3488 0.3488
```

The following is a PBE calculation of Tl2BSbRh after structural relaxation, from Alexandria via LeMat-Bulk.

```
Tl2BSbRh
1.0
6.0293 0.0000 0.0000
0.0000 6.0293 0.0000
0.0000 0.0000 4.0772
Tl B Sb Rh
2 1 1 1
direct
0.0000 0.5000 0.0000
0.5000 0.0000 0.0000
0.0000 0.0000 0.5000
0.0000 0.0000 0.0000
0.5000 0.5000 0.5000
```

The following is a PBE calculation of Tm4B3SbRh12 after structural relaxation, from Alexandria via LeMat-Bulk.

```
Tm4B3SbRh12
1.0
-4.3362 4.3362 4.3362
4.3362 -4.3362 4.3362
4.3362 4.3362 -4.3362
Tm B Sb Rh
4 3 1 12
direct
0.0000 0.0000 0.5000
0.0000 0.5000 0.0000
0.5000 0.0000 0.0000
0.5000 0.5000 0.5000
0.0000 0.5000 0.5000
0.5000 0.0000 0.5000
0.5000 0.5000 0.0000
0.0000 0.0000 0.0000
0.0000 0.2768 0.2768
0.0000 0.7232 0.7232
0.2500 0.5000 0.7500
0.2500 0.7500 0.5000
0.2768 0.0000 0.2768
0.2768 0.2768 0.0000
0.5000 0.2500 0.7500
0.5000 0.7500 0.2500
0.7232 0.0000 0.7232
0.7232 0.7232 0.0000
0.7500 0.2500 0.5000
0.7500 0.5000 0.2500
```

The following is a PBE calculation of Y3B2SbRh9 after structural relaxation, from Alexandria via LeMat-Bulk.

```
Y3B2SbRh9
1.0
5.8759 0.0000 0.0000
-2.9380 5.0887 0.0000
0.0000 0.0000 8.6762
Y B Sb Rh
3 2 1 9
direct
0.0000 0.0000 0.0000
0.3333 0.6667 0.6801
0.6667 0.3333 0.3199
0.3333 0.6667 0.1447
0.6667 0.3333 0.8553
0.0000 0.0000 0.5000
0.0000 0.5000 0.0000
0.1641 0.3283 0.2722
0.1641 0.8359 0.2722
0.3283 0.1641 0.7278
0.5000 0.0000 0.0000
0.5000 0.5000 0.0000
0.6717 0.8359 0.2722
0.8359 0.1641 0.7278
0.8359 0.6717 0.7278
```

The following is a PBE calculation of Y2B2SbRh5 after structural relaxation, from Alexandria via LeMat-Bulk.

```
Y2B2SbRh5
1.0
9.5611 0.0000 0.0000
0.0000 9.5611 0.0000
0.0000 0.0000 3.3187
Y B Sb Rh
4 4 2 10
direct
0.1753 0.3247 0.0000
0.3247 0.8247 0.0000
0.6753 0.1753 0.0000
0.8247 0.6753 0.0000
0.1192 0.6192 0.0000
0.3808 0.1192 0.0000
0.6192 0.8808 0.0000
0.8808 0.3808 0.0000
0.0000 0.0000 0.0000
0.5000 0.5000 0.0000
0.0000 0.5000 0.5000
0.0709 0.7755 0.5000
0.2245 0.0709 0.5000
0.2755 0.5709 0.5000
0.4291 0.2755 0.5000
0.5000 0.0000 0.5000
0.5709 0.7245 0.5000
0.7245 0.4291 0.5000
0.7755 0.9291 0.5000
0.9291 0.2245 0.5000
```

The following is a PBE calculation of Y4B3SbRh12 after structural relaxation, from Alexandria via LeMat-Bulk.

```
Y4B3SbRh12
1.0
-4.3602 4.3602 4.3602
4.3602 -4.3602 4.3602
4.3602 4.3602 -4.3602
Y B Sb Rh
4 3 1 12
direct
0.0000 0.0000 0.5000
0.0000 0.5000 0.0000
0.5000 0.0000 0.0000
0.5000 0.5000 0.5000
0.0000 0.5000 0.5000
0.5000 0.0000 0.5000
0.5000 0.5000 0.0000
0.0000 0.0000 0.0000
0.0000 0.2773 0.2773
0.0000 0.7227 0.7227
0.2500 0.5000 0.7500
0.2500 0.7500 0.5000
0.2773 0.0000 0.2773
0.2773 0.2773 0.0000
0.5000 0.2500 0.7500
0.5000 0.7500 0.2500
0.7227 0.0000 0.7227
0.7227 0.7227 0.0000
0.7500 0.2500 0.5000
0.7500 0.5000 0.2500
```

The following is a PBE calculation of YB2SbRh after structural relaxation, from Alexandria via LeMat-Bulk.

```
YB2SbRh
1.0
4.3388 0.0000 0.0000
0.0000 4.3388 0.0000
0.0000 0.0000 5.8185
Y B Sb Rh
1 2 1 1
direct
0.0000 0.0000 0.0000
0.0000 0.5000 0.5000
0.5000 0.0000 0.5000
0.0000 0.0000 0.5000
0.5000 0.5000 0.0000
```

We obtain formation energy without anion corrections values of 0.1 -1.0 -5.0 -2.7 -8.9 8.1 -2.9 -7.9 -5.9 5.8 4.2 -11.6 -8.2 -5.5 7.5 -12.1 -9.2 -7.8 -11.9 7.8 eV per formula unit for the records listed above, in that order.
We obtain magnetic moment values of 0.0 0.0 0.0 0.0 0.0 0.0 0.0 0.0 0.0 0.0 0.0 0.0 0.0 0.0 1.2 0.0 0.0 0.0 0.0 0.0 μB/f.u. for the records listed above, in that order.